# 1
LaInSb2 after structural relaxation, computed with PBE-GGA.

It has space group Cm (No. 8), with a = 11.526 Å, b = 4.592 Å, c = 4.609 Å, α = 90.00°, β = 109.36° and γ = 90.00°. The distinct sites, in fractional coordinates, are La at (0.000, 0.000, 0.000), In at (0.244, 0.000, 0.694), Sb at (0.240, 0.500, 0.184) and Sb at (0.492, 0.000, 0.502).

For the uncorrected formation energy, the calculation gives -0.5780 eV/atom.

---

# 2
PaBiPb after structural relaxation, computed with PBE-GGA.

It has space group P3m1 (No. 156), with a = 3.3292 Å, b = 3.3292 Å, c = 9.3798 Å, α = 90.00°, β = 90.00° and γ = 120.00°. The distinct sites, in fractional coordinates, are Pa at (0.0000, 0.0000, 0.0000), Bi at (0.6667, 0.3333, 0.3019) and Pb at (0.3333, 0.6667, 0.6891).

For the formation energy, the calculation gives 0.045 eV per atom. The value obtained for the energy above the most stable polymorph in this dataset is 107 meV per atom.

---

# 3
Nd12In6Pt after structural relaxation, computed with PBE-GGA.

It has space group R-3 (No. 148, hexagonal axes), with a = 12.3886 Å, b = 12.3886 Å, c = 13.7918 Å, α = 90.00°, β = 90.00° and γ = 120.00°. The distinct sites, in fractional coordinates, are Nd at (0.0407, 0.8502, 0.3598), Nd at (0.0424, 0.1976, 0.8957), In at (0.9996, 0.4045, 0.7692) and Pt at (0.0000, 0.0000, 0.5000).

For the formation energy, the calculation gives -0.294 eV per atom.

---

# 4
ThCd11Pd after structural relaxation, computed with PBE-GGA.

It has space group C2/m (No. 12), with a = 5.821 Å, b = 14.106 Å, c = 7.582 Å, α = 90.00°, β = 112.50° and γ = 90.00°. The distinct sites, in fractional coordinates, are Th at (0.000, 0.000, 0.000), Cd at (0.000, 0.000, 0.500), Cd at (0.100, 0.395, 0.216), Cd at (0.193, 0.171, 0.356), Cd at (0.250, 0.250, 0.000) and Pd at (0.000, 0.500, 0.500).

For the formation energy, the calculation gives -0.127 eV per atom.

---

# 5
Al2Cr after structural relaxation, computed with PBE-GGA.

It has space group Fm-3m (No. 225), with a = 5.981 Å, b = 5.981 Å, c = 5.981 Å, α = 90.00°, β = 90.00° and γ = 90.00°. The distinct sites, in fractional coordinates, are Al at (0.250, 0.250, 0.250) and Cr at (0.000, 0.000, 0.000).

For the formation energy, the calculation gives 0.285 eV per atom.

---

# 6
BaCa3Sn after structural relaxation, computed with PBE-GGA.

It has space group Pm-3m (No. 221), with a = 5.893 Å, b = 5.893 Å, c = 5.893 Å, α = 90.00°, β = 90.00° and γ = 90.00°. The distinct sites, in fractional coordinates, are Ba at (0.000, 0.000, 0.000), Ca at (0.000, 0.000, 0.500) and Sn at (0.500, 0.500, 0.500).

For the formation energy, the calculation gives 0.913 eV per atom. The value obtained for the energy above the most stable polymorph in this dataset is 1092 meV per atom.

---

Number 1: spin magnetization 0.00 μB per formula unit, energy -4.56 eV/atom, DOS at the Fermi energy 0.54 states/eV per atom. Number 2: spin magnetization 0.00 μB per formula unit, energy -5.65 eV/atom, DOS at the Fermi energy 1.04 states/eV per atom. Number 3: spin magnetization 0.00 μB per formula unit, energy -4.49 eV/atom, DOS at the Fermi energy 1.16 states/eV per atom. Number 4: spin magnetization 0.00 μB per formula unit, energy -1.87 eV/atom, DOS at the Fermi energy 0.55 states/eV per atom. Number 5: spin magnetization 2.64 μB per formula unit, energy -5.42 eV/atom, DOS at the Fermi energy 0.64 states/eV per atom. Number 6: spin magnetization 1.79 μB per formula unit, energy -1.47 eV/atom, DOS at the Fermi energy 1.25 states/eV per atom.